(1)
# GGA-PBE Li2PtRh, relaxed
# energy relative to the elements: -0.264 eV/atom
# distance to the lowest polymorph of the same formula: 151 meV/atom
data_Li2PtRh
_space_group_name_H-M_alt 'I 4/m m m'
_space_group_IT_number 139
_space_group_name_Hall '-I 4 2'
_cell_length_a 3.741
_cell_length_b 3.741
_cell_length_c 7.949
_cell_angle_alpha 90.00
_cell_angle_beta 90.00
_cell_angle_gamma 90.00
loop_
_atom_site_label
_atom_site_type_symbol
_atom_site_fract_x
_atom_site_fract_y
_atom_site_fract_z
Li1 Li 0.000 0.500 0.250
Pt1 Pt 0.000 0.000 0.000
Rh1 Rh 0.000 0.000 0.500



(2)
# GGA-PBE LiRu2PtRh, relaxed
# energy relative to the elements: 0.853 eV/atom
data_LiRu2PtRh
_space_group_name_H-M_alt 'P 4/m m m'
_space_group_IT_number 123
_space_group_name_Hall '-P 4 2'
_cell_length_a 4.094
_cell_length_b 4.094
_cell_length_c 4.079
_cell_angle_alpha 90.00
_cell_angle_beta 90.00
_cell_angle_gamma 90.00
loop_
_atom_site_label
_atom_site_type_symbol
_atom_site_fract_x
_atom_site_fract_y
_atom_site_fract_z
Li1 Li 0.000 0.000 0.000
Ru1 Ru 0.000 0.500 0.000
Pt1 Pt 0.500 0.500 0.500
Rh1 Rh 0.000 0.000 0.500



(3)
# GGA-PBE Li2PtRhS, relaxed
# raw formation energy: -16 meV per atom
data_Li2PtRhS
_space_group_name_H-M_alt 'P 4/m m m'
_space_group_IT_number 123
_space_group_name_Hall '-P 4 2'
_cell_length_a 4.233
_cell_length_b 4.233
_cell_length_c 4.581
_cell_angle_alpha 90.00
_cell_angle_beta 90.00
_cell_angle_gamma 90.00
loop_
_atom_site_label
_atom_site_type_symbol
_atom_site_fract_x
_atom_site_fract_y
_atom_site_fract_z
Li1 Li 0.000 0.500 0.000
Pt1 Pt 0.000 0.000 0.500
Rh1 Rh 0.500 0.500 0.500
S1 S 0.000 0.000 0.000



(4)
# GGA-PBE LiTaPtRh, relaxed
# energy relative to the elements: -0.603 eV/atom
data_LiTaPtRh
_space_group_name_H-M_alt 'I -4 m 2'
_space_group_IT_number 119
_space_group_name_Hall 'I -4 -2'
_cell_length_a 4.142
_cell_length_b 4.142
_cell_length_c 6.910
_cell_angle_alpha 90.00
_cell_angle_beta 90.00
_cell_angle_gamma 90.00
loop_
_atom_site_label
_atom_site_type_symbol
_atom_site_fract_x
_atom_site_fract_y
_atom_site_fract_z
Li1 Li 0.000 0.000 0.000
Ta1 Ta 0.000 0.000 0.500
Pt1 Pt 0.000 0.500 0.750
Rh1 Rh 0.000 0.500 0.250



(5)
# GGA-PBE LiTi2PtRh, relaxed
# energy relative to the elements: 0.308 eV/atom
data_LiTi2PtRh
_space_group_name_H-M_alt 'P 4/m m m'
_space_group_IT_number 123
_space_group_name_Hall '-P 4 2'
_cell_length_a 4.285
_cell_length_b 4.285
_cell_length_c 4.029
_cell_angle_alpha 90.00
_cell_angle_beta 90.00
_cell_angle_gamma 90.00
loop_
_atom_site_label
_atom_site_type_symbol
_atom_site_fract_x
_atom_site_fract_y
_atom_site_fract_z
Li1 Li 0.000 0.000 0.000
Ti1 Ti 0.000 0.500 0.000
Pt1 Pt 0.500 0.500 0.500
Rh1 Rh 0.000 0.000 0.500



(6)
# GGA-PBE Li2TlPtRh, relaxed
# energy relative to the elements: 0.220 eV/atom
data_Li2TlPtRh
_space_group_name_H-M_alt 'P 4/m m m'
_space_group_IT_number 123
_space_group_name_Hall '-P 4 2'
_cell_length_a 4.640
_cell_length_b 4.640
_cell_length_c 4.884
_cell_angle_alpha 90.00
_cell_angle_beta 90.00
_cell_angle_gamma 90.00
loop_
_atom_site_label
_atom_site_type_symbol
_atom_site_fract_x
_atom_site_fract_y
_atom_site_fract_z
Li1 Li 0.000 0.500 0.000
Tl1 Tl 0.000 0.000 0.500
Pt1 Pt 0.500 0.500 0.500
Rh1 Rh 0.500 0.500 0.000